Here is a relaxed NdZnPt crystal from the Alexandria database. Energies are from PBE.

## Properties
The calculation puts the total energy at -29.2 eV per cell. The value obtained for the calculated volume is 64.2 Å³/f.u. The crystal system is tetragonal. Its formation enthalpy at 0 K is -843.5 meV per atom.

Lattice parameters (Å, degrees): 4.2057 4.2057 7.2600 90.00 90.00 89.98
Closest atoms and distances in Å follow each position.
Fractional positions:
Nd 0.7500 0.7500 0.3342  5 Pt 3.05-3.09, 4 Zn 3.21
Nd 0.2500 0.2500 0.6658  5 Pt 3.05-3.09, 4 Zn 3.21
Pt 0.7500 0.7500 0.7603  4 Zn 2.73, 4 Nd 3.05
Pt 0.2500 0.2500 0.2397  4 Zn 2.73, 4 Nd 3.05
Zn 0.7500 0.2500 0.0000  4 Pt 2.73, 4 Zn 2.97
Zn 0.2500 0.7500 0.0000  4 Pt 2.73, 4 Zn 2.97

---

Here is a relaxed Nd2Zn3Pt crystal from the Alexandria database. Energies are from PBE.

## Properties
The value obtained for the relative energy among the computed polymorphs is 5 meV/atom. The calculation puts the total energy at -46.0 eV per cell. The value obtained for the calculated volume is 130.3 Å³/f.u. The crystal system is orthorhombic. Its formation enthalpy at 0 K is -601.4 meV per atom.

Lattice parameters (Å, degrees): 5.8509 5.8509 8.9802 112.90 112.90 78.79
Closest atoms and distances in Å follow each position.
Fractional positions:
Nd 0.7500 0.2500 0.5000  8 Zn 3.19-3.21, 4 Pt 3.20
Nd 0.7412 0.2588 0.0000  2 Pt 3.14, 10 Zn 3.17-3.22
Nd 0.2500 0.7500 0.5000  8 Zn 3.19-3.21, 4 Pt 3.20
Nd 0.2588 0.7412 0.0000  2 Pt 3.14, 10 Zn 3.17-3.22
Zn 0.8346 0.8346 0.1657  2 Zn 2.57-2.58, 1 Pt 2.62
Zn 0.6690 0.6690 0.8343  2 Zn 2.57-2.58, 1 Pt 2.62
Zn 0.1654 0.1654 0.8343  2 Zn 2.57-2.58, 1 Pt 2.62
Zn 0.3310 0.3310 0.1657  2 Zn 2.57-2.58, 1 Pt 2.62
Zn 0.1651 0.1651 0.3301  2 Zn 2.58, 1 Pt 2.62
Zn 0.8349 0.8349 0.6699  2 Zn 2.58, 1 Pt 2.62
Pt 0.6662 0.6662 0.3323  3 Zn 2.62
Pt 0.3338 0.3338 0.6677  3 Zn 2.62

---

Here is a relaxed NdZn2Pt5 crystal from the Alexandria database. Energies are from PBE.

## Properties
The calculation puts the total energy at -42.2 eV per cell. The value obtained for the calculated volume is 142.3 Å³/f.u. The crystal system is orthorhombic. Its formation enthalpy at 0 K is -587.8 meV per atom.

Lattice parameters (Å, degrees): 3.9021 6.5209 6.5209 66.67 72.59 72.59
Closest atoms and distances in Å follow each position.
Fractional positions:
Nd 0.0000 0.0000 0.0000  10 Pt 3.24-3.58, 4 Zn 3.24
Zn 0.7542 0.7458 0.7458  7 Pt 2.45-2.65
Zn 0.2458 0.2542 0.2542  7 Pt 2.45-2.65
Pt 0.0000 0.5000 0.5000  2 Zn 2.50
Pt 0.6395 0.5591 0.1619  3 Zn 2.45-2.65
Pt 0.3605 0.4409 0.8381  3 Zn 2.45-2.65
Pt 0.3605 0.8381 0.4409  3 Zn 2.45-2.65
Pt 0.6395 0.1619 0.5591  3 Zn 2.45-2.65

---

Here is a relaxed Nd2Zn5Pt3 crystal from the Alexandria database. Energies are from PBE.

## Properties
The value obtained for the relative energy among the computed polymorphs is 0 meV/atom. The calculation puts the total energy at -81.9 eV per cell. The value obtained for the calculated volume is 190.8 Å³/f.u. The crystal system is monoclinic. Its formation enthalpy at 0 K is -693.0 meV per atom.

Lattice parameters (Å, degrees): 5.6582 8.7909 8.7909 95.96 71.27 71.27
Closest atoms and distances in Å follow each position.
Fractional positions:
Nd 0.2823 0.8624 0.5726  4 Pt 3.09-3.25, 9 Zn 3.13-3.36
Nd 0.2177 0.4274 0.1376  4 Pt 3.09-3.25, 9 Zn 3.13-3.36
Nd 0.7177 0.1376 0.4274  4 Pt 3.09-3.25, 9 Zn 3.13-3.36
Nd 0.7823 0.5726 0.8624  4 Pt 3.09-3.25, 9 Zn 3.13-3.36
Zn 0.3244 0.0925 0.2603  3 Pt 2.52-2.55, 2 Zn 2.74-2.75
Zn 0.1756 0.7397 0.9075  3 Pt 2.52-2.55, 2 Zn 2.74-2.75
Zn 0.6756 0.9075 0.7397  3 Pt 2.52-2.55, 2 Zn 2.74-2.75
Zn 0.8244 0.2603 0.0925  3 Pt 2.52-2.55, 2 Zn 2.74-2.75
Zn 0.2500 0.1976 0.8024  3 Pt 2.59, 4 Zn 2.74-2.83
Zn 0.7500 0.8024 0.1976  3 Pt 2.59, 4 Zn 2.74-2.83
Zn 0.2500 0.5001 0.4999  4 Pt 2.66, 2 Zn 2.83
Zn 0.7500 0.4999 0.5001  4 Pt 2.66, 2 Zn 2.83
Zn 0.2500 0.8018 0.1982  3 Pt 2.58-2.59, 4 Zn 2.75-2.83
Zn 0.7500 0.1982 0.8018  3 Pt 2.58-2.59, 4 Zn 2.75-2.83
Pt 0.0970 0.2488 0.5576  5 Zn 2.52-2.66
Pt 0.4030 0.4424 0.7512  5 Zn 2.52-2.66
Pt 0.9030 0.7512 0.4424  5 Zn 2.52-2.66
Pt 0.5970 0.5576 0.2488  5 Zn 2.52-2.66
Pt 0.2500 0.9996 0.0004  6 Zn 2.55-2.59, 2 Pt 2.83
Pt 0.7500 0.0004 0.9996  6 Zn 2.55-2.59, 2 Pt 2.83

---

Here is a relaxed Nd2Zn5Pt3 crystal from the Alexandria database. Energies are from PBE.

## Properties
The value obtained for the relative energy among the computed polymorphs is 115 meV/atom. The calculation puts the total energy at -39.8 eV per cell. The value obtained for the calculated volume is 193.4 Å³/f.u. The crystal system is tetragonal. Its formation enthalpy at 0 K is -577.5 meV per atom.

Lattice parameters (Å, degrees): 4.0167 4.0167 11.9877 90.00 90.00 90.00
Closest atoms and distances in Å follow each position.
Fractional positions:
Nd 0.5000 0.0000 0.2597  4 Pt 3.03, 4 Zn 3.20
Nd 0.0000 0.5000 0.7403  4 Pt 3.03, 4 Zn 3.20
Zn 0.5000 0.5000 0.0000  8 Zn 2.59-2.84
Zn 0.0000 0.0000 0.0000  8 Zn 2.59-2.84
Zn 0.5000 0.0000 0.8640  1 Pt 2.53, 4 Zn 2.59
Zn 0.0000 0.5000 0.1360  1 Pt 2.53, 4 Zn 2.59
Zn 0.5000 0.5000 0.5000  8 Pt 2.72-2.84
Pt 0.5000 0.0000 0.6534  3 Zn 2.53-2.72, 2 Pt 2.72
Pt 0.0000 0.5000 0.3466  3 Zn 2.53-2.72, 2 Pt 2.72
Pt 0.0000 0.0000 0.5000  4 Pt 2.72, 4 Zn 2.84

---

Here is a relaxed Nd2Zn3Pt2 crystal from the Alexandria database. Energies are from PBE.

## Properties
The calculation puts the total energy at -30.8 eV per cell. The value obtained for the calculated volume is 142.5 Å³/f.u. The crystal system is monoclinic. Its formation enthalpy at 0 K is -760.3 meV per atom.

Lattice parameters (Å, degrees): 4.2898 5.5025 7.1239 111.15 90.00 112.94
Closest atoms and distances in Å follow each position.
Fractional positions:
Nd 0.8544 0.7088 0.2356  4 Pt 2.99-3.14, 6 Zn 3.13-3.34
Nd 0.1456 0.2912 0.7644  4 Pt 2.99-3.14, 6 Zn 3.13-3.34
Zn 0.5000 0.0000 0.0000  4 Pt 2.66, 2 Zn 2.86
Zn 0.6269 0.2538 0.4358  3 Pt 2.73-2.75, 2 Zn 2.86-3.05
Zn 0.3731 0.7462 0.5642  3 Pt 2.73-2.75, 2 Zn 2.86-3.05
Pt 0.8599 0.7198 0.7986  5 Zn 2.66-2.75
Pt 0.1401 0.2802 0.2014  5 Zn 2.66-2.75

---

Here is a relaxed NdZn12Pt6 crystal from the Alexandria database. Energies are from PBE.

## Properties
The calculation puts the total energy at -64.0 eV per cell. The value obtained for the calculated volume is 325.5 Å³/f.u. The crystal system is trigonal. Its formation enthalpy at 0 K is -405.7 meV per atom.

Lattice parameters (Å, degrees): 7.1840 7.1840 7.1840 104.80 104.80 104.80
Closest atoms and distances in Å follow each position.
Fractional positions:
Nd 0.0000 0.0000 0.0000  6 Zn 3.16
Zn 0.8895 0.1105 0.5000  3 Zn 2.52-2.74, 4 Pt 2.54-2.59
Zn 0.8634 0.6068 0.6068  4 Pt 2.62-2.82, 4 Zn 2.74-2.92
Zn 0.6068 0.6068 0.8634  4 Pt 2.62-2.82, 4 Zn 2.74-2.92
Zn 0.3932 0.1366 0.3932  4 Pt 2.62-2.82, 4 Zn 2.74-2.92
Zn 0.3932 0.3932 0.1366  4 Pt 2.62-2.82, 4 Zn 2.74-2.92
Zn 0.1366 0.3932 0.3932  4 Pt 2.62-2.82, 4 Zn 2.74-2.92
Zn 0.1105 0.5000 0.8895  3 Zn 2.52-2.74, 4 Pt 2.54-2.59
Zn 0.5000 0.8895 0.1105  3 Zn 2.52-2.74, 4 Pt 2.54-2.59
Zn 0.1105 0.8895 0.5000  3 Zn 2.52-2.74, 4 Pt 2.54-2.59
Zn 0.8895 0.5000 0.1105  3 Zn 2.52-2.74, 4 Pt 2.54-2.59
Zn 0.5000 0.1105 0.8895  3 Zn 2.52-2.74, 4 Pt 2.54-2.59
Zn 0.6068 0.8634 0.6068  4 Pt 2.62-2.82, 4 Zn 2.74-2.92
Pt 0.7065 0.2779 0.2779  8 Zn 2.54-2.82
Pt 0.2779 0.2779 0.7065  8 Zn 2.54-2.82
Pt 0.2779 0.7065 0.2779  8 Zn 2.54-2.82
Pt 0.7221 0.7221 0.2935  8 Zn 2.54-2.82
Pt 0.2935 0.7221 0.7221  8 Zn 2.54-2.82
Pt 0.7221 0.2935 0.7221  8 Zn 2.54-2.82

---

Here is a relaxed Nd2ZnPt crystal from the Alexandria database. Energies are from PBE.

## Properties
The calculation puts the total energy at -19.6 eV per cell. The value obtained for the calculated volume is 97.2 Å³/f.u. The crystal system is tetragonal. Its formation enthalpy at 0 K is -680.8 meV per atom.

Lattice parameters (Å, degrees): 3.6781 3.6781 7.1883 90.00 90.00 90.00
Closest atoms and distances in Å follow each position.
Fractional positions:
Zn 0.5000 0.5000 0.5000  8 Nd 3.20
Nd 0.0000 0.0000 0.7594  4 Pt 3.12, 4 Zn 3.20, 1 Nd 3.46
Nd 0.0000 0.0000 0.2406  4 Pt 3.12, 4 Zn 3.20, 1 Nd 3.46
Pt 0.5000 0.5000 0.0000  8 Nd 3.12

---

Here is a relaxed NdZn3Pt3 crystal from the Alexandria database. Energies are from PBE.

## Properties
The value obtained for the relative energy among the computed polymorphs is 438 meV/atom. The calculation puts the total energy at -55.5 eV per cell. The value obtained for the calculated volume is 158.5 Å³/f.u. The crystal system is cubic. Its formation enthalpy at 0 K is -147.1 meV per atom.

Lattice parameters (Å, degrees): 6.8181 6.8181 6.8181 90.00 90.00 90.00
Closest atoms and distances in Å follow each position.
Fractional positions:
Zn 0.0000 0.2500 0.5000  4 Pt 2.41
Zn 0.0000 0.7500 0.5000  4 Pt 2.41
Zn 0.5000 0.0000 0.7500  4 Pt 2.41
Zn 0.7500 0.5000 0.0000  4 Pt 2.41
Zn 0.5000 0.0000 0.2500  4 Pt 2.41
Zn 0.2500 0.5000 0.0000  4 Pt 2.41
Nd 0.5000 0.5000 0.5000  12 Pt 3.81, 12 Zn 3.81
Nd 0.0000 0.0000 0.0000  12 Zn 3.81, 12 Pt 3.81
Pt 0.2500 0.0000 0.5000  4 Zn 2.41
Pt 0.0000 0.5000 0.2500  4 Zn 2.41
Pt 0.5000 0.7500 0.0000  4 Zn 2.41
Pt 0.7500 0.0000 0.5000  4 Zn 2.41
Pt 0.0000 0.5000 0.7500  4 Zn 2.41
Pt 0.5000 0.2500 0.0000  4 Zn 2.41

---

Here is a relaxed Nd3ZnPt4 crystal from the Alexandria database. Energies are from PBE.

## Properties
The calculation puts the total energy at -47.2 eV per cell. The value obtained for the calculated volume is 194.0 Å³/f.u. The crystal system is orthorhombic. Its formation enthalpy at 0 K is -926.6 meV per atom.

Lattice parameters (Å, degrees): 4.1592 6.3510 8.2683 112.59 104.57 90.00
Closest atoms and distances in Å follow each position.
Fractional positions:
Nd 0.1911 0.1911 0.3822  6 Pt 2.96-3.08
Nd 0.8089 0.8089 0.6178  6 Pt 2.96-3.08
Nd 0.0000 0.5000 0.0000  8 Pt 3.04
Zn 0.5000 0.0000 0.0000  4 Pt 2.55
Pt 0.3798 0.1689 0.7596  1 Zn 2.55, 1 Pt 2.68
Pt 0.6202 0.8311 0.2404  1 Zn 2.55, 1 Pt 2.68
Pt 0.6202 0.4092 0.2404  1 Zn 2.55, 1 Pt 2.68
Pt 0.3798 0.5908 0.7596  1 Zn 2.55, 1 Pt 2.68

---

Here is a relaxed NdZn4Pt2 crystal from the Alexandria database. Energies are from PBE.

## Properties
The calculation puts the total energy at -53.0 eV per cell. The value obtained for the calculated volume is 124.5 Å³/f.u. The crystal system is tetragonal. Its formation enthalpy at 0 K is -653.9 meV per atom.

Lattice parameters (Å, degrees): 4.2757 7.6304 7.6304 90.00 90.00 90.00
Closest atoms and distances in Å follow each position.
Fractional positions:
Nd 0.5000 0.0000 0.0000  6 Pt 3.05-3.17, 4 Zn 3.29
Nd 0.0000 0.5000 0.5000  6 Pt 3.05-3.17, 4 Zn 3.29
Zn 0.0000 0.0954 0.3507  3 Pt 2.59-2.62, 6 Zn 2.70-2.87
Zn 0.0000 0.9046 0.6493  3 Pt 2.59-2.62, 6 Zn 2.70-2.87
Zn 0.5000 0.1493 0.5954  3 Pt 2.59-2.62, 6 Zn 2.70-2.87
Zn 0.5000 0.8507 0.4046  3 Pt 2.59-2.62, 6 Zn 2.70-2.87
Zn 0.5000 0.4046 0.8507  3 Pt 2.59-2.62, 6 Zn 2.70-2.87
Zn 0.5000 0.5954 0.1493  3 Pt 2.59-2.62, 6 Zn 2.70-2.87
Zn 0.0000 0.3507 0.0954  3 Pt 2.59-2.62, 6 Zn 2.70-2.87
Zn 0.0000 0.6493 0.9046  3 Pt 2.59-2.62, 6 Zn 2.70-2.87
Pt 0.0000 0.2171 0.7829  6 Zn 2.59-2.62
Pt 0.0000 0.7829 0.2171  6 Zn 2.59-2.62
Pt 0.5000 0.7171 0.7171  6 Zn 2.59-2.62
Pt 0.5000 0.2829 0.2829  6 Zn 2.59-2.62

---

Here is a relaxed Nd2ZnPt3 crystal from the Alexandria database. Energies are from PBE.

## Properties
The calculation puts the total energy at -69.0 eV per cell. The value obtained for the calculated volume is 131.3 Å³/f.u. The crystal system is orthorhombic. Its formation enthalpy at 0 K is -928.3 meV per atom.

Lattice parameters (Å, degrees): 5.7960 5.7960 8.7653 106.15 106.15 99.13
Closest atoms and distances in Å follow each position.
Fractional positions:
Nd 0.2500 0.7500 0.5000  8 Pt 3.13-3.23, 4 Zn 3.19
Nd 0.7519 0.7519 0.0000  10 Pt 3.16-3.35, 2 Zn 3.23
Nd 0.7500 0.2500 0.5000  8 Pt 3.13-3.23, 4 Zn 3.19
Nd 0.2481 0.2481 0.0000  10 Pt 3.16-3.35, 2 Zn 3.23
Zn 0.6655 0.6655 0.3309  3 Pt 2.50-2.51
Zn 0.3345 0.3345 0.6691  3 Pt 2.50-2.51
Pt 0.3408 0.8283 0.1691  1 Zn 2.50, 2 Pt 2.68-2.69
Pt 0.1717 0.6592 0.8309  1 Zn 2.50, 2 Pt 2.68-2.69
Pt 0.6592 0.1717 0.8309  1 Zn 2.50, 2 Pt 2.68-2.69
Pt 0.8283 0.3408 0.1691  1 Zn 2.50, 2 Pt 2.68-2.69
Pt 0.1760 0.1760 0.3519  1 Zn 2.51, 2 Pt 2.69
Pt 0.8240 0.8240 0.6481  1 Zn 2.51, 2 Pt 2.69